*i*
VASP calculation (GGA-PBE) on a relaxed structure of LiHfS3.

The value obtained for the density of states at the Fermi level is 2.4 states/eV/cell.

Lattice parameters (Å, degrees): 4.942 4.942 4.942 90.00 90.00 90.00
Space group Pm-3m (No. 221)
Symmetry-distinct sites (fractional):
Li1 0.000 0.000 0.000 x1
Hf1 0.500 0.500 0.500 x1
S1 0.000 0.500 0.500 x3

---

*ii*
VASP calculation (GGA-PBE) on a relaxed structure of LiHfS3.

The value obtained for the density of states at the Fermi level is 4.1 states/eV/cell.

Lattice parameters (Å, degrees): 4.339 4.339 4.339 90.00 90.00 90.00
Space group Pm-3m (No. 221)
Symmetry-distinct sites (fractional):
Li1 0.000 0.000 0.000 x1
Hf1 0.500 0.500 0.500 x1
S1 0.000 0.000 0.500 x3

---

Short version: *ii* is the least stable of them.